(1)
## Rb2PaAg2Te6 (PBE)

Data for a relaxed Rb2PaAg2Te6 crystal.

Cell: 6.5541 8.5073 10.0197 Å, 117.58 90.00 112.66°
With the nearest neighbours (Å) after each atom.
Fractional positions:
Rb  0.6988  0.3977  0.1972  7 Te 3.81-4.05, 3 Ag 4.09-4.19
Rb  0.3012  0.6023  0.8028  7 Te 3.81-4.05, 3 Ag 4.09-4.19
Pa  0.5000  0.0000  0.5000  6 Te 2.91-3.07
Ag  0.8981  0.7963  0.6736  3 Te 2.68-2.77
Ag  0.1019  0.2037  0.3264  3 Te 2.68-2.77
Te  0.7062  0.4124  0.5835  1 Ag 2.68, 1 Pa 2.91
Te  0.1881  0.8752  0.2064  1 Ag 2.77, 1 Pa 3.07
Te  0.3129  0.1248  0.7936  1 Ag 2.77, 1 Pa 3.07
Te  0.8119  0.1248  0.7936  1 Ag 2.77, 1 Pa 3.07
Te  0.6871  0.8752  0.2064  1 Ag 2.77, 1 Pa 3.07
Te  0.2938  0.5876  0.4165  1 Ag 2.68, 1 Pa 2.91

Values from the calculation:
Volume ... 446.0 Å³/f.u.
E_form (uncorrected) ... -514 meV per atom
Magnetic moment ... 0.000 μB/atom



(2)
## CsInGa2Tc (PBE)

Data for a relaxed CsInGa2Tc crystal.

Cell: 5.0410 5.0410 5.3281 Å, 90.00 90.00 90.00°
With the nearest neighbours (Å) after each atom.
Fractional positions:
Cs  0.5000  0.5000  0.5000  4 In 3.56, 8 Ga 3.67
Tc  0.0000  0.0000  0.0000  4 Ga 2.52, 2 In 2.66
Ga  0.0000  0.5000  0.0000  2 Tc 2.52
Ga  0.5000  0.0000  0.0000  2 Tc 2.52
In  0.0000  0.0000  0.5000  2 Tc 2.66

Values from the calculation:
Volume ... 135.4 Å³/f.u.
Energy of formation ... -0.2 eV per formula unit
Magnetic moment ... 0.000 μB/atom



(3)
## Np2TaSi2Os5 (PBE)

Data for a relaxed Np2TaSi2Os5 crystal.

Cell: 3.1571 10.2612 10.2612 Å, 90.00 90.00 90.00°
With the nearest neighbours (Å) after each atom.
Fractional positions:
Np  0.0000  0.6759  0.1759  3 Si 2.87-3.14, 10 Os 3.00-3.15, 2 Np 3.16
Np  0.0000  0.3241  0.8241  3 Si 2.87-3.14, 10 Os 3.00-3.15, 2 Np 3.16
Np  0.0000  0.1759  0.3241  3 Si 2.87-3.14, 10 Os 3.00-3.15, 2 Np 3.16
Np  0.0000  0.8241  0.6759  3 Si 2.87-3.14, 10 Os 3.00-3.15, 2 Np 3.16
Ta  0.0000  0.0000  0.0000  8 Os 2.73
Ta  0.0000  0.5000  0.5000  8 Os 2.73
Si  0.0000  0.1264  0.6264  6 Os 2.41-2.42
Si  0.0000  0.8736  0.3736  6 Os 2.41-2.42
Si  0.0000  0.6264  0.8736  6 Os 2.41-2.42
Si  0.0000  0.3736  0.1264  6 Os 2.41-2.42
Os  0.5000  0.2077  0.0629  2 Si 2.41
Os  0.5000  0.7923  0.9371  2 Si 2.41
Os  0.5000  0.0629  0.7923  2 Si 2.41
Os  0.5000  0.7077  0.4371  2 Si 2.41
Os  0.5000  0.9371  0.2077  2 Si 2.41
Os  0.5000  0.2923  0.5629  2 Si 2.41
Os  0.5000  0.5629  0.7077  2 Si 2.41
Os  0.5000  0.4371  0.2923  2 Si 2.41
Os  0.5000  0.5000  0.0000  4 Si 2.42
Os  0.5000  0.0000  0.5000  4 Si 2.42

Values from the calculation:
Volume ... 166.2 Å³/f.u.
E_form (uncorrected) ... -174 meV per atom
Magnetic moment ... 0.711 μB/atom



Q: What is the magnetic moment in the third record?
A: 0.711 μB/atom